Material: YTl4Re
Method: DFT, PBE-GGA
State: relaxed

POSCAR file:
```
YTl4Re
1.0
0.000 4.261 4.261
4.261 0.000 4.261
4.261 4.261 0.000
Y Tl Re
1 4 1
Cartesian
0.000 0.000 0.000
3.201 3.201 3.201
5.320 5.320 3.201
5.320 3.201 5.320
3.201 5.320 5.320
6.391 6.391 6.391
```

Properties
The formation enthalpy at 0 K comes out at 0.848 eV/atom. The space-group type is No. 216.


Material: YTlRe2
Method: DFT, PBE-GGA
State: relaxed

POSCAR file:
```
YTlRe2
1.0
1.513 0.874 9.929
-1.513 0.874 9.929
0.000 -1.747 9.929
Y Tl Re
1 1 2
Cartesian
0.000 0.000 0.000
0.000 0.000 7.079
0.000 0.000 14.496
0.000 0.000 22.448
```

Properties
The formation enthalpy at 0 K comes out at 0.559 eV/atom. The space-group type is No. 160.


Material: Y2Tl2Re
Method: DFT, PBE-GGA
State: relaxed

POSCAR file:
```
Y2Tl2Re
1.0
-1.957 1.957 9.062
1.957 -1.957 9.062
1.957 1.957 -9.062
Y Tl Re
2 2 1
Cartesian
0.000 0.000 1.543
0.000 0.000 16.581
1.957 0.000 4.531
0.000 1.957 4.531
0.000 0.000 9.062
```

Properties
The formation enthalpy at 0 K comes out at 0.518 eV/atom. The space-group type is No. 139.